(1)
18
Lattice="5.470 0.000 0.000 0.000 6.718 -3.879 0.000 0.000 7.758" Properties=species:S:1:pos:R:3 comment="Ti4Pd5 (PBE, relaxed)" sg="P6_3/mcm, No. 193" vol_a3_per_atom=15.8 pbc="T T T"
Pd 0.000 4.479 0.000
Ti 0.000 0.000 0.000
Pd 1.367 0.000 5.286
Pd 2.735 2.239 3.879
Ti 1.367 0.000 2.699
Pd 4.102 0.000 2.472
Ti 1.367 4.381 2.529
Pd 2.735 4.479 0.000
Ti 4.102 4.381 -2.529
Ti 1.367 2.338 -1.350
Ti 4.102 0.000 5.058
Ti 4.102 2.338 1.350
Ti 2.735 0.000 0.000
Pd 1.367 2.141 1.236
Pd 4.102 2.141 -1.236
Pd 0.000 2.239 3.879
Pd 4.102 4.578 2.643
Pd 1.367 4.578 -2.643



(2)
9
Lattice="-0.698 2.087 2.232 -5.950 -2.592 2.764 1.954 -3.316 5.912" Properties=species:S:1:pos:R:3 comment="Ti4Pd5 (PBE, relaxed)" sg="Immm, No. 71" vol_a3_per_atom=16.0 pbc="T T T"
Ti -1.708 -0.708 4.529
Pd -3.315 -2.833 3.813
Pd 1.877 -3.309 5.881
Ti -2.711 -3.139 6.487
Pd -2.344 -0.481 1.916
Ti -2.663 -3.757 9.282
Ti 0.330 -0.280 2.565
Pd -4.984 -3.100 7.942
Pd -0.603 -3.082 4.893



Which structure above is the least stable? It is (2).